(1)
The following is a PBE calculation of crystalline Mg2Al2ZnPd5 at its relaxed geometry, from Alexandria via LeMat-Bulk.

abc: 9.641 9.641 3.488
angles: 90.00 90.00 90.00
Fractional coordinates of all 20 atoms:
Mg1 0.170 0.330 0.000
Mg2 0.330 0.830 0.000
Mg3 0.670 0.170 0.000
Mg4 0.830 0.670 0.000
Al1 0.130 0.630 0.000
Al2 0.370 0.130 0.000
Al3 0.630 0.870 0.000
Al4 0.870 0.370 0.000
Zn1 0.000 0.000 0.000
Zn2 0.500 0.500 0.000
Pd1 0.000 0.500 0.500
Pd2 0.076 0.803 0.500
Pd3 0.197 0.076 0.500
Pd4 0.303 0.576 0.500
Pd5 0.424 0.303 0.500
Pd6 0.500 0.000 0.500
Pd7 0.576 0.697 0.500
Pd8 0.697 0.424 0.500
Pd9 0.803 0.924 0.500
Pd10 0.924 0.197 0.500

DOS(E_F) = 5.6 states/eV per cell
magnetization = 0.00 Bohr magnetons per cell
symmetry = P4/mbm
calculated volume = 162.1 Å³/f.u.
formation energy = -0.642 eV/atom


(2)
The following is a PBE calculation of crystalline Ba2ReO6 at its relaxed geometry, from Alexandria via LeMat-Bulk.

abc: 6.060 6.865 9.617
angles: 90.00 121.71 90.00
Fractional coordinates of all 18 atoms:
Ba1 0.210 0.086 0.251
Ba2 0.210 0.414 0.751
Ba3 0.790 0.586 0.249
Ba4 0.790 0.914 0.749
Re1 0.500 0.000 0.000
Re2 0.500 0.500 0.500
O1 0.198 0.134 0.960
O2 0.198 0.366 0.460
O3 0.310 0.739 0.432
O4 0.310 0.761 0.932
O5 0.408 0.051 0.783
O6 0.408 0.449 0.283
O7 0.592 0.551 0.717
O8 0.592 0.949 0.217
O9 0.690 0.239 0.068
O10 0.690 0.261 0.568
O11 0.802 0.634 0.540
O12 0.802 0.866 0.040

energy above the lowest structure with this stoichiometry = 0.000 eV per atom
DOS(E_F) = 7.0 states/eV per cell
magnetization = 2.11 Bohr magnetons per cell
symmetry = P2_1/c
calculated volume = 170.2 Å³/f.u.
formation energy (no corrections) = -2.08 eV/atom


(3)
The following is a PBE calculation of crystalline Ba3Li9Tl2 at its relaxed geometry, from Alexandria via LeMat-Bulk.

abc: 9.507 9.507 9.507
angles: 148.93 109.31 79.21
Fractional coordinates of all 14 atoms:
Ba1 0.000 0.000 0.000
Ba2 0.314 0.314 0.000
Ba3 0.686 0.686 0.000
Li1 0.012 0.681 0.331
Li2 0.176 0.894 0.282
Li3 0.350 0.681 0.669
Li4 0.389 0.106 0.282
Li5 0.500 0.000 0.500
Li6 0.611 0.894 0.718
Li7 0.650 0.319 0.331
Li8 0.824 0.106 0.718
Li9 0.988 0.319 0.669
Tl1 0.284 0.500 0.784
Tl2 0.716 0.500 0.216

DOS(E_F) = 8.5 states/eV per cell
magnetization = 0.00 Bohr magnetons per cell
symmetry = Immm
calculated volume = 410.2 Å³/f.u.
formation energy = -0.099 eV/atom


(4)
The following is a PBE calculation of crystalline ZnCu14Pd at its relaxed geometry, from Alexandria via LeMat-Bulk.

abc: 8.437 5.206 5.206
angles: 59.61 90.00 90.00
Fractional coordinates of all 16 atoms:
Zn1 0.000 0.000 0.000
Cu1 0.000 0.001 0.501
Cu2 0.000 0.501 0.001
Cu3 0.251 0.167 0.167
Cu4 0.255 0.668 0.668
Cu5 0.256 0.163 0.666
Cu6 0.256 0.666 0.163
Cu7 0.500 0.330 0.330
Cu8 0.500 0.330 0.833
Cu9 0.500 0.831 0.831
Cu10 0.500 0.833 0.330
Cu11 0.744 0.163 0.666
Cu12 0.744 0.666 0.163
Cu13 0.745 0.668 0.668
Cu14 0.749 0.167 0.167
Pd1 0.000 0.501 0.501

DOS(E_F) = 6.5 states/eV per cell
magnetization = 0.00 Bohr magnetons per cell
symmetry = Amm2
calculated volume = 197.3 Å³/f.u.
formation energy = -0.040 eV/atom


(5)
The following is a PBE calculation of crystalline BaMnRe2 at its relaxed geometry, from Alexandria via LeMat-Bulk.

abc: 5.055 5.055 15.985
angles: 90.00 90.00 90.00
Fractional coordinates of all 16 atoms:
Ba1 0.000 0.250 0.375
Ba2 0.000 0.750 0.625
Ba3 0.500 0.250 0.125
Ba4 0.500 0.750 0.875
Mn1 0.000 0.250 0.875
Mn2 0.000 0.750 0.125
Mn3 0.500 0.250 0.625
Mn4 0.500 0.750 0.375
Re1 0.000 0.000 0.000
Re2 0.000 0.500 0.000
Re3 0.250 0.250 0.750
Re4 0.250 0.750 0.250
Re5 0.500 0.000 0.500
Re6 0.500 0.500 0.500
Re7 0.750 0.250 0.750
Re8 0.750 0.750 0.250

energy above the lowest structure with this stoichiometry = 0.670 eV per atom
DOS(E_F) = 25.9 states/eV per cell
magnetization = 0.00 Bohr magnetons per cell
symmetry = I4_1/amd
calculated volume = 102.1 Å³/f.u.
formation energy = 1.204 eV/atom


(6)
The following is a PBE calculation of crystalline Th2Al3Zn4Cu at its relaxed geometry, from Alexandria via LeMat-Bulk.

abc: 4.256 4.256 10.510
angles: 90.00 90.00 90.00
Fractional coordinates of all 10 atoms:
Th1 0.000 0.500 0.247
Th2 0.500 0.000 0.753
Al1 0.000 0.000 0.000
Al2 0.000 0.500 0.637
Al3 0.500 0.000 0.363
Zn1 0.000 0.000 0.500
Zn2 0.000 0.500 0.872
Zn3 0.500 0.000 0.128
Zn4 0.500 0.500 0.500
Cu1 0.500 0.500 0.000

DOS(E_F) = 2.9 states/eV per cell
magnetization = 0.00 Bohr magnetons per cell
symmetry = P-4m2
calculated volume = 190.4 Å³/f.u.
formation energy = -0.338 eV/atom


(7)
The following is a PBE calculation of crystalline Pr4OsSe2Cl at its relaxed geometry, from Alexandria via LeMat-Bulk.

abc: 7.426 4.161 7.484
angles: 90.00 107.60 90.00
Fractional coordinates of all 8 atoms:
Pr1 0.227 0.000 0.231
Pr2 0.228 0.500 0.756
Pr3 0.772 0.500 0.244
Pr4 0.773 0.000 0.769
Os1 0.000 0.500 0.000
Se1 0.000 0.000 0.500
Se2 0.500 0.500 0.500
Cl1 0.500 0.000 0.000

DOS(E_F) = 6.8 states/eV per cell
magnetization = 0.00 Bohr magnetons per cell
symmetry = P2/m
calculated volume = 220.4 Å³/f.u.
formation energy (no corrections) = -1.25 eV/atom


(8)
The following is a PBE calculation of crystalline Rb2BaP2 at its relaxed geometry, from Alexandria via LeMat-Bulk.

abc: 4.831 4.831 14.211
angles: 90.00 90.00 90.00
Fractional coordinates of all 10 atoms:
Rb1 0.000 0.500 0.250
Rb2 0.000 0.500 0.750
Rb3 0.500 0.000 0.250
Rb4 0.500 0.000 0.750
Ba1 0.000 0.000 0.000
Ba2 0.500 0.500 0.500
P1 0.000 0.000 0.421
P2 0.000 0.000 0.579
P3 0.500 0.500 0.079
P4 0.500 0.500 0.921

energy above the lowest structure with this stoichiometry = 0.019 eV per atom
DOS(E_F) = 5.3 states/eV per cell
magnetization = 0.00 Bohr magnetons per cell
symmetry = I4/mmm
calculated volume = 165.8 Å³/f.u.
formation energy = -0.354 eV/atom


(9)
The following is a PBE calculation of crystalline CsRb3Zn4Cl12 at its relaxed geometry, from Alexandria via LeMat-Bulk.

abc: 9.762 9.762 9.762
angles: 102.94 102.94 102.94
Fractional coordinates of all 20 atoms:
Cs1 0.000 0.000 0.000
Rb1 0.000 0.530 0.470
Rb2 0.470 0.000 0.530
Rb3 0.530 0.470 0.000
Zn1 0.034 0.500 0.966
Zn2 0.500 0.500 0.500
Zn3 0.500 0.966 0.034
Zn4 0.966 0.034 0.500
Cl1 0.029 0.646 0.824
Cl2 0.110 0.890 0.500
Cl3 0.176 0.354 0.971
Cl4 0.354 0.971 0.176
Cl5 0.356 0.644 0.500
Cl6 0.500 0.110 0.890
Cl7 0.500 0.356 0.644
Cl8 0.644 0.500 0.356
Cl9 0.646 0.824 0.029
Cl10 0.824 0.029 0.646
Cl11 0.890 0.500 0.110
Cl12 0.971 0.176 0.354

DOS(E_F) = 0.0 states/eV per cell
magnetization = 0.00 Bohr magnetons per cell
symmetry = R32
calculated volume = 846.1 Å³/f.u.
formation energy (no corrections) = -1.46 eV/atom


(10)
The following is a PBE calculation of crystalline HfCd2H2 at its relaxed geometry, from Alexandria via LeMat-Bulk.

abc: 5.887 5.887 4.463
angles: 90.00 90.00 90.00
Fractional coordinates of all 10 atoms:
Hf1 0.000 0.000 0.000
Hf2 0.500 0.500 0.000
Cd1 0.248 0.252 0.500
Cd2 0.252 0.752 0.500
Cd3 0.748 0.248 0.500
Cd4 0.752 0.748 0.500
H1 0.248 0.252 0.000
H2 0.252 0.752 0.000
H3 0.748 0.248 0.000
H4 0.752 0.748 0.000

DOS(E_F) = 3.6 states/eV per cell
magnetization = 0.00 Bohr magnetons per cell
DFT total energy = -36.1 eV/cell
symmetry = P4/mbm
calculated volume = 77.3 Å³/f.u.


(11)
The following is a PBE calculation of crystalline Na8Cd2Sn at its relaxed geometry, from Alexandria via LeMat-Bulk.

abc: 8.843 8.843 8.014
angles: 113.64 113.64 35.23
Fractional coordinates of all 11 atoms:
Na1 0.027 0.027 0.248
Na2 0.154 0.154 0.699
Na3 0.333 0.333 0.597
Na4 0.383 0.383 0.065
Na5 0.617 0.617 0.935
Na6 0.667 0.667 0.403
Na7 0.846 0.846 0.301
Na8 0.973 0.973 0.752
Cd1 0.204 0.204 0.161
Cd2 0.796 0.796 0.839
Sn1 0.500 0.500 0.500

energy above the lowest structure with this stoichiometry = 0.000 eV per atom
DOS(E_F) = 5.3 states/eV per cell
magnetization = 0.00 Bohr magnetons per cell
symmetry = C2/m
calculated volume = 327.9 Å³/f.u.
formation energy = -0.070 eV/atom


(12)
The following is a PBE calculation of crystalline Pm2Nd4Sm2Dy at its relaxed geometry, from Alexandria via LeMat-Bulk.

abc: 8.159 8.159 8.141
angles: 107.59 107.59 36.90
Fractional coordinates of all 9 atoms:
Pm1 0.111 0.111 0.169
Pm2 0.889 0.889 0.831
Nd1 0.222 0.222 0.832
Nd2 0.445 0.445 0.168
Nd3 0.555 0.555 0.832
Nd4 0.778 0.778 0.168
Sm1 0.334 0.334 0.500
Sm2 0.666 0.666 0.500
Dy1 0.000 0.000 0.500

DOS(E_F) = 14.1 states/eV per cell
magnetization = 0.00 Bohr magnetons per cell
symmetry = C2/m
calculated volume = 308.4 Å³/f.u.
formation energy = 0.014 eV/atom


(13)
The following is a PBE calculation of crystalline HoTm2Tl at its relaxed geometry, from Alexandria via LeMat-Bulk.

abc: 3.517 3.517 32.777
angles: 90.00 90.00 120.00
Fractional coordinates of all 12 atoms:
Ho1 0.000 0.000 0.000
Ho2 0.333 0.667 0.667
Ho3 0.667 0.333 0.333
Tm1 0.000 0.000 0.247
Tm2 0.000 0.000 0.753
Tm3 0.333 0.667 0.420
Tm4 0.333 0.667 0.913
Tm5 0.667 0.333 0.087
Tm6 0.667 0.333 0.580
Tl1 0.000 0.000 0.500
Tl2 0.333 0.667 0.167
Tl3 0.667 0.333 0.833

energy above the lowest structure with this stoichiometry = 0.056 eV per atom
DOS(E_F) = 11.3 states/eV per cell
magnetization = 0.00 Bohr magnetons per cell
symmetry = R-3m
calculated volume = 117.1 Å³/f.u.
formation energy = -0.107 eV/atom


(14)
The following is a PBE calculation of crystalline Rb2HgPb2 at its relaxed geometry, from Alexandria via LeMat-Bulk.

abc: 7.143 7.143 10.307
angles: 90.00 90.00 90.00
Fractional coordinates of all 10 atoms:
Rb1 0.000 0.500 0.250
Rb2 0.000 0.500 0.750
Rb3 0.500 0.000 0.250
Rb4 0.500 0.000 0.750
Hg1 0.000 0.000 0.000
Hg2 0.500 0.500 0.500
Pb1 0.000 0.000 0.366
Pb2 0.000 0.000 0.634
Pb3 0.500 0.500 0.134
Pb4 0.500 0.500 0.866

energy above the lowest structure with this stoichiometry = 0.154 eV per atom
DOS(E_F) = 0.3 states/eV per cell
magnetization = 0.00 Bohr magnetons per cell
symmetry = I4/mmm
calculated volume = 262.9 Å³/f.u.
formation energy = 0.039 eV/atom